No. 1
Entry from the Alexandria database: a relaxed structure of Cd2SnPd2 (GGA-PBE). Values from VASP.

Output
For the energy, the calculation gives -34.6 eV per cell. The formation energy from the elements comes out at -0.213 eV per atom.

Geometry as Quantum ESPRESSO input:
```
&SYSTEM
  ibrav = 0, nat = 10, ntyp = 3
/
ATOMIC_SPECIES
Cd 112.41 Cd.upf
Sn 118.71 Sn.upf
Pd 106.42 Pd.upf
CELL_PARAMETERS angstrom
7.993 0.000 0.000
0.000 7.993 0.000
0.000 0.000 3.095
ATOMIC_POSITIONS crystal
Cd 0.132 0.368 0.000
Cd 0.368 0.868 0.000
Cd 0.632 0.132 0.000
Cd 0.868 0.632 0.000
Sn 0.000 0.000 0.000
Sn 0.500 0.500 0.000
Pd 0.163 0.663 0.500
Pd 0.337 0.163 0.500
Pd 0.663 0.837 0.500
Pd 0.837 0.337 0.500
```

No. 2
Entry from the Alexandria database: a relaxed structure of Y6Sb3SeS2 (GGA-PBE). Values from VASP.

Output
The energy relative to the elements, uncorrected is -146.2 kJ/mol of atoms. For the energy, the calculation gives -81.1 eV per cell.

Geometry as Quantum ESPRESSO input:
```
&SYSTEM
  ibrav = 0, nat = 12, ntyp = 4
/
ATOMIC_SPECIES
Y 88.91 Y.upf
Sb 121.76 Sb.upf
Se 78.96 Se.upf
S 32.06 S.upf
CELL_PARAMETERS angstrom
3.629 -6.271 0.000
3.629 6.271 0.000
-2.419 0.000 6.852
ATOMIC_POSITIONS crystal
Y 0.082 0.423 0.769
Y 0.234 0.234 0.226
Y 0.423 0.082 0.769
Y 0.577 0.918 0.231
Y 0.766 0.766 0.774
Y 0.918 0.577 0.231
Sb 0.000 0.000 0.500
Sb 0.337 0.663 0.500
Sb 0.663 0.337 0.500
Se 0.500 0.500 0.000
S 0.167 0.833 0.000
S 0.833 0.167 0.000
```

No. 3
Entry from the Alexandria database: a relaxed structure of LiAcPrCu (GGA-PBE). Values from VASP.

Output
For the energy, the calculation gives -58.8 eV per cell. The formation energy from the elements comes out at 0.047 eV per atom.

Geometry as Quantum ESPRESSO input:
```
&SYSTEM
  ibrav = 0, nat = 16, ntyp = 4
/
ATOMIC_SPECIES
Li 6.94 Li.upf
Ac 227.00 Ac.upf
Pr 140.91 Pr.upf
Cu 63.55 Cu.upf
CELL_PARAMETERS angstrom
7.605 0.000 0.000
0.000 7.605 0.000
0.000 0.000 7.605
ATOMIC_POSITIONS crystal
Li 0.000 0.000 0.000
Li 0.000 0.500 0.500
Li 0.500 0.000 0.500
Li 0.500 0.500 0.000
Ac 0.250 0.250 0.750
Ac 0.250 0.750 0.250
Ac 0.750 0.250 0.250
Ac 0.750 0.750 0.750
Pr 0.250 0.250 0.250
Pr 0.250 0.750 0.750
Pr 0.750 0.250 0.750
Pr 0.750 0.750 0.250
Cu 0.000 0.000 0.500
Cu 0.000 0.500 0.000
Cu 0.500 0.000 0.000
Cu 0.500 0.500 0.500
```

No. 4
Entry from the Alexandria database: a relaxed structure of BeP2W (GGA-PBE). Values from VASP.

Output
For the energy, the calculation gives -52.8 eV per cell. The formation energy from the elements comes out at 0.279 eV per atom.

Geometry as Quantum ESPRESSO input:
```
&SYSTEM
  ibrav = 0, nat = 8, ntyp = 3
/
ATOMIC_SPECIES
Be 9.01 Be.upf
P 30.97 P.upf
W 183.84 W.upf
CELL_PARAMETERS angstrom
3.422 0.000 0.000
0.000 4.612 0.000
0.000 0.000 7.596
ATOMIC_POSITIONS crystal
Be 0.000 0.000 0.000
Be 0.500 0.500 0.000
P 0.000 0.000 0.543
P 0.000 0.500 0.154
P 0.500 0.000 0.154
P 0.500 0.500 0.543
W 0.000 0.500 0.777
W 0.500 0.000 0.777
```

No. 5
Entry from the Alexandria database: a relaxed structure of Rb2LiZnPt (GGA-PBE). Values from VASP.

Output
For the energy, the calculation gives -10.7 eV per cell. The formation energy from the elements comes out at 0.101 eV per atom.

Geometry as Quantum ESPRESSO input:
```
&SYSTEM
  ibrav = 0, nat = 5, ntyp = 4
/
ATOMIC_SPECIES
Rb 85.47 Rb.upf
Li 6.94 Li.upf
Zn 65.41 Zn.upf
Pt 195.08 Pt.upf
CELL_PARAMETERS angstrom
6.571 0.000 0.000
0.000 6.571 0.000
0.000 0.000 4.884
ATOMIC_POSITIONS crystal
Rb 0.000 0.500 0.000
Rb 0.500 0.000 0.000
Li 0.000 0.000 0.500
Zn 0.500 0.500 0.500
Pt 0.500 0.500 0.000
```

No. 6
Entry from the Alexandria database: a relaxed structure of BeTeP2S (GGA-PBE). Values from VASP.

Output
The energy relative to the elements, uncorrected is 52.4 kJ/mol of atoms. For the energy, the calculation gives -19.1 eV per cell.

Geometry as Quantum ESPRESSO input:
```
&SYSTEM
  ibrav = 0, nat = 5, ntyp = 4
/
ATOMIC_SPECIES
Be 9.01 Be.upf
Te 127.60 Te.upf
P 30.97 P.upf
S 32.06 S.upf
CELL_PARAMETERS angstrom
4.464 0.000 0.000
0.000 4.464 0.000
0.000 0.000 4.274
ATOMIC_POSITIONS crystal
Be 0.000 0.000 0.000
Te 0.500 0.500 0.500
P 0.000 0.500 0.000
P 0.500 0.000 0.000
S 0.000 0.000 0.500
```

No. 7
Entry from the Alexandria database: a relaxed structure of Na2SbN (GGA-PBE). Values from VASP.

Output
The energy relative to the elements, uncorrected is 81.6 kJ/mol of atoms. For the energy, the calculation gives -46.8 eV per cell.

Geometry as Quantum ESPRESSO input:
```
&SYSTEM
  ibrav = 0, nat = 16, ntyp = 3
/
ATOMIC_SPECIES
Na 22.99 Na.upf
Sb 121.76 Sb.upf
N 14.01 N.upf
CELL_PARAMETERS angstrom
6.840 0.000 0.000
0.000 6.840 0.000
0.000 0.000 6.840
ATOMIC_POSITIONS crystal
Na 0.250 0.250 0.250
Na 0.250 0.250 0.750
Na 0.250 0.750 0.250
Na 0.250 0.750 0.750
Na 0.750 0.250 0.250
Na 0.750 0.250 0.750
Na 0.750 0.750 0.250
Na 0.750 0.750 0.750
Sb 0.000 0.000 0.000
Sb 0.000 0.500 0.500
Sb 0.500 0.000 0.500
Sb 0.500 0.500 0.000
N 0.000 0.000 0.500
N 0.000 0.500 0.000
N 0.500 0.000 0.000
N 0.500 0.500 0.500
```

No. 8
Entry from the Alexandria database: a relaxed structure of Hf6ScFe2 (GGA-PBE). Values from VASP.

Output
For the energy, the calculation gives -83.2 eV per cell. The formation energy from the elements comes out at -0.027 eV per atom.

Geometry as Quantum ESPRESSO input:
```
&SYSTEM
  ibrav = 0, nat = 9, ntyp = 3
/
ATOMIC_SPECIES
Hf 178.49 Hf.upf
Sc 44.96 Sc.upf
Fe 55.84 Fe.upf
CELL_PARAMETERS angstrom
7.762 -1.614 0.000
7.762 1.614 0.000
-3.988 0.000 7.111
ATOMIC_POSITIONS crystal
Hf 0.058 0.058 0.387
Hf 0.287 0.287 0.678
Hf 0.343 0.343 0.183
Hf 0.657 0.657 0.817
Hf 0.713 0.713 0.322
Hf 0.942 0.942 0.613
Sc 0.500 0.500 0.000
Fe 0.145 0.145 0.047
Fe 0.855 0.855 0.953
```